Gd2TmPa: optimized geometry, PBE.

a b c (Å): 3.409 3.409 10.114
angles (deg): 90.00 90.00 90.00
Atoms (fractional coordinates):
Pa1 0.500 0.500 0.000
Gd1 0.000 0.000 0.234
Gd2 0.000 0.000 0.766
Tm1 0.500 0.500 0.500

Output
- symmetry = P4/mmm (123)
- final energy (eV per atom) = -10.400
- energy relative to the lowest polymorph listed for this composition (meV per atom) = 0
- calculated formation energy (meV per atom) = 132.7